Below is an optimized crystal structure of Pr6BO12, with properties calculated at the PBE-GGA level.

Unit cell a=10.2026 b=10.2026 c=9.6127 alpha=90.00 beta=90.00 gamma=120.00
Space group R-3 (No. 148, hexagonal axes)
Symmetry-distinct sites (fractional):
Pr 0.0494 0.2546 0.1522 x18
B 0.0000 0.0000 0.5000 x3
O 0.0360 0.1593 0.4038 x18
O 0.0392 0.2294 0.9064 x18

Computed properties:
E_tot: -7.562 eV/atom